! YNiF2 PBE+U optimized geometry; values from VASP
! - Energy relative to the lowest polymorph listed for this composition: 1.11 eV per formula unit
! - Calculated density: 5.9 g cm⁻³
! - Spin magnetization: 0.000 μB/f.u.
&SYSTEM
  ibrav = 0, nat = 4, ntyp = 3
/
ATOMIC_SPECIES
Y 88.91 Y.upf
Ni 58.69 Ni.upf
F 19.00 F.upf
CELL_PARAMETERS angstrom
0.000 2.961 2.961
2.961 0.000 2.961
2.961 2.961 0.000
ATOMIC_POSITIONS crystal
Y 0.000 0.000 0.000
Ni 0.500 0.500 0.500
F 0.250 0.250 0.250
F 0.750 0.750 0.750